# 1
The following is a DFT calculation (PBE) of HfZrNb4 after structural relaxation.

Computed properties:
Density of states at the Fermi level ... 1.94 states/eV/atom

Lattice parameters (Å, degrees): 7.852 7.852 7.852 90.00 90.00 90.00
Space group F-43m (No. 216)
One atom of each set of equivalent atoms:
Hf1 0.000 0.000 0.000 [4 per cell]
Zr1 0.250 0.250 0.750 [4 per cell]
Nb1 0.125 0.125 0.375 [16 per cell]

# 2
The following is a DFT calculation (PBE) of Hf2ZrNb after structural relaxation.

Computed properties:
Density of states at the Fermi level ... 1.92 states/eV/atom
Excess energy over the best structure of this formula in the dataset ... 0.0507 eV per atom

Lattice parameters (Å, degrees): 6.963 6.963 6.963 90.00 90.00 90.00
Space group Fm-3m (No. 225)
One atom of each set of equivalent atoms:
Hf1 0.250 0.250 0.250 [8 per cell]
Zr1 0.000 0.000 0.000 [4 per cell]
Nb1 0.000 0.000 0.500 [4 per cell]

# 3
The following is a DFT calculation (PBE) of HfZr2Nb after structural relaxation.

Computed properties:
Density of states at the Fermi level ... 1.74 states/eV/atom
Excess energy over the best structure of this formula in the dataset ... 0.0403 eV per atom

Lattice parameters (Å, degrees): 6.990 6.990 6.990 90.00 90.00 90.00
Space group Fm-3m (No. 225)
One atom of each set of equivalent atoms:
Hf1 0.000 0.000 0.000 [4 per cell]
Zr1 0.250 0.250 0.250 [8 per cell]
Nb1 0.000 0.000 0.500 [4 per cell]

# 4
The following is a DFT calculation (PBE) of Hf2ZrNb4 after structural relaxation.

Computed properties:
Density of states at the Fermi level ... 1.17 states/eV/atom

Lattice parameters (Å, degrees): 3.380 25.763 3.319 90.00 90.00 90.00
Space group Cmmm (No. 65)
One atom of each set of equivalent atoms:
Hf1 0.000 0.198 0.000 [4 per cell]
Zr1 0.000 0.500 0.500 [2 per cell]
Nb1 0.000 0.074 0.000 [4 per cell]
Nb2 0.000 0.368 0.500 [4 per cell]

# 5
The following is a DFT calculation (PBE) of HfZr2Nb after structural relaxation.

Computed properties:
Density of states at the Fermi level ... 1.58 states/eV/atom
Excess energy over the best structure of this formula in the dataset ... 0.0767 eV per atom

Lattice parameters (Å, degrees): 3.1395 3.1395 30.6469 90.00 90.00 120.00
Space group R-3m (No. 166, hexagonal axes)
One atom of each set of equivalent atoms:
Hf1 0.0000 0.0000 0.0000 [3 per cell]
Zr1 0.0000 0.0000 0.2476 [6 per cell]
Nb1 0.0000 0.0000 0.5000 [3 per cell]

# 6
The following is a DFT calculation (PBE) of Hf2ZrNb after structural relaxation.

Computed properties:
Density of states at the Fermi level ... 1.60 states/eV/atom
Excess energy over the best structure of this formula in the dataset ... 0.0000 eV per atom

Lattice parameters (Å, degrees): 3.437 3.437 7.231 90.00 90.00 90.00
Space group P4/mmm (No. 123)
One atom of each set of equivalent atoms:
Hf1 0.000 0.000 0.224 [2 per cell]
Zr1 0.500 0.500 0.500 [1 per cell]
Nb1 0.500 0.500 0.000 [1 per cell]

# 7
The following is a DFT calculation (PBE) of HfZr2Nb2 after structural relaxation.

Computed properties:
Density of states at the Fermi level ... 1.14 states/eV/atom

Lattice parameters (Å, degrees): 7.626 7.626 3.719 90.00 90.00 90.00
Space group P4/mbm (No. 127)
One atom of each set of equivalent atoms:
Hf1 0.000 0.000 0.000 [2 per cell]
Zr1 0.169 0.331 0.500 [4 per cell]
Nb1 0.130 0.630 0.000 [4 per cell]

# 8
The following is a DFT calculation (PBE) of HfZr3Nb after structural relaxation.

Computed properties:
Density of states at the Fermi level ... 1.35 states/eV/atom
Excess energy over the best structure of this formula in the dataset ... 0.0000 eV per atom

Lattice parameters (Å, degrees): 3.110 7.649 9.960 108.62 91.06 100.89
Space group P-1 (No. 2)
One atom of each set of equivalent atoms:
Hf1 0.096 0.115 0.157 [2 per cell]
Zr1 0.193 0.489 0.750 [2 per cell]
Zr2 0.373 0.719 0.064 [2 per cell]
Zr3 0.375 0.709 0.543 [2 per cell]
Nb1 0.190 0.085 0.637 [2 per cell]

# 9
The following is a DFT calculation (PBE) of NdHf after structural relaxation.

Computed properties:
Density of states at the Fermi level ... 1.13 states/eV/atom
Excess energy over the best structure of this formula in the dataset ... 0.0000 eV per atom

Lattice parameters (Å, degrees): 3.335 5.388 6.178 90.00 90.00 90.00
Space group Pmmn (No. 59, origin choice 2)
One atom of each set of equivalent atoms:
Nd1 0.250 0.250 0.104 [2 per cell]
Hf1 0.250 0.750 0.432 [2 per cell]

# 10
The following is a DFT calculation (PBE) of NdHf3 after structural relaxation.

Computed properties:
Density of states at the Fermi level ... 0.98 states/eV/atom

Lattice parameters (Å, degrees): 3.283 5.214 5.840 90.00 90.00 90.00
Space group Pmm2 (No. 25)
One atom of each set of equivalent atoms:
Nd1 0.000 0.000 0.000 [1 per cell]
Hf1 0.000 0.500 0.654 [1 per cell]
Hf2 0.500 0.000 0.499 [1 per cell]
Hf3 0.500 0.500 0.200 [1 per cell]

# 11
The following is a DFT calculation (PBE) of NdHf after structural relaxation.

Computed properties:
Density of states at the Fermi level ... 1.68 states/eV/atom
Excess energy over the best structure of this formula in the dataset ... 0.0447 eV per atom

Lattice parameters (Å, degrees): 3.3803 3.3803 5.5684 90.00 90.00 120.00
Space group P-6m2 (No. 187)
One atom of each set of equivalent atoms:
Nd1 0.0000 0.0000 0.0000 [1 per cell]
Hf1 0.3333 0.6667 0.5000 [1 per cell]

# 12
The following is a DFT calculation (PBE) of NdHf2Ni after structural relaxation.

Computed properties:
Density of states at the Fermi level ... 1.46 states/eV/atom

Lattice parameters (Å, degrees): 3.286 3.286 7.941 90.00 90.00 90.00
Space group P4/mmm (No. 123)
One atom of each set of equivalent atoms:
Nd1 0.000 0.000 0.000 [1 per cell]
Hf1 0.500 0.500 0.311 [2 per cell]
Ni1 0.000 0.000 0.500 [1 per cell]

Calculated final energy in order - -9.765 -9.509 -9.160 -9.695 -9.123 -9.560 -9.220 -9.078 -7.119 -8.475 -7.075 -7.654 eV/atom
Calculated energy of formation in order - 0.03 0.12 0.12 0.12 0.16 0.07 0.22 0.06 0.24 0.18 0.29 -0.04 eV per atom
Calculated V in order - 484 338 342 289 262 85 216 220 111 100 55 86 Å³ per cell